A relaxed AcLa2SmDy crystal. Source: the Alexandria database, functional PBE-GGA.

Properties
E_form	0.358	eV/atom
raw total energy	-0.316	Ry per atom
ρ	7.07	g cm⁻³
volume	768.2	Å³/cell

a b c (Å): 6.643 17.551 6.589
angles (deg): 90.00 90.00 90.00
Space group Cmcm (No. 63)
One atom of each set of equivalent atoms:
Ac (0.000, 0.159, 0.250) (multiplicity 4)
La (0.243, 0.500, 0.000) (multiplicity 8)
Sm (0.000, 0.346, 0.250) (multiplicity 4)
Dy (0.000, 0.261, 0.750) (multiplicity 4)